Crystalline RbCrAgCl6 at its relaxed geometry, computed with PBE.

```
9
Lattice="-1.728 6.055 -1.830 -0.946 1.588 -6.570 -6.883 -1.872 0.815" Properties=species:S:1:pos:R:3 pbc="T T T"
Rb -0.980 1.722 -6.534
Cr -4.342 1.652 -2.382
Ag -5.227 4.172 -5.194
Cl -2.481 0.156 -2.206
Cl -5.221 0.916 -0.336
Cl -6.228 2.914 -2.742
Cl -5.417 -0.185 -3.475
Cl -3.478 2.452 -4.407
Cl -3.122 3.228 -1.234
```

Computed properties:
* calculated volume: 30.47 Å³/atom
* ΔE_f (raw): -912 kJ/mol of formula units
* magnetization: 1.95 μB per formula unit
* symmetry: No. 1
* VASP energy: -3.78 eV per atom
* density of states at the Fermi level: 5.11 states/eV/f.u.